A relaxed structure of TmFe3I12. Source: Alexandria, functional PBE.

Cell and atoms, written as POSCAR:
```
TmFe3I12
1.0
15.432 0.000 0.000
-7.716 13.364 0.000
0.000 0.000 8.056
Tm Fe I
2 6 24
direct
0.333 0.667 0.250
0.667 0.333 0.750
0.131 0.695 0.750
0.305 0.436 0.750
0.436 0.131 0.250
0.564 0.869 0.750
0.695 0.564 0.250
0.869 0.305 0.250
0.019 0.510 0.750
0.038 0.789 0.750
0.211 0.249 0.750
0.241 0.487 0.016
0.241 0.487 0.484
0.246 0.759 0.016
0.246 0.759 0.484
0.249 0.038 0.250
0.487 0.246 0.516
0.487 0.246 0.984
0.490 0.509 0.750
0.491 0.981 0.750
0.509 0.019 0.250
0.510 0.491 0.250
0.513 0.754 0.016
0.513 0.754 0.484
0.751 0.962 0.750
0.754 0.241 0.516
0.754 0.241 0.984
0.759 0.513 0.516
0.759 0.513 0.984
0.789 0.751 0.250
0.962 0.211 0.250
0.981 0.490 0.250
```

Symmetry: P6_3/m, No. 176
Energy relative to the elements, uncorrected: -37 kJ per mole of atoms